Density functional theory data (PBE) for TaGa3 after structural relaxation.

Raw total energy   -5.35 eV/atom
E_form   -0.115 eV per atom

a b c (Å): 5.4261 5.4261 5.4261
angles (deg): 148.04 63.17 127.08
Last column: nearest neighbours and their distance in Å.
Fractional coordinates of all 4 atoms:
Ta 0.0000 0.0000 0.0000  10 Ga 2.78-2.90, 2 Ta 2.99
Ga 0.0690 0.3249 0.7441  9 Ga 2.79-2.99, 3 Ta 2.84
Ga 0.4856 0.9856 0.5000  4 Ta 2.78-2.90, 8 Ga 2.79-2.99
Ga 0.5808 0.3249 0.2559  9 Ga 2.79-2.99, 3 Ta 2.84